The following is a DFT calculation (PBE) of a relaxed Tb3Nd2Ho7 crystal.

Summary:
- total magnetic moment (μB per formula unit) = 0.00
- crystal system = monoclinic
- space-group type = P2/m (10)
- density of states at the Fermi level (states/eV per cell) = 17.506
- electronic total energy (eV for the cell shown) = -54.5
- formation enthalpy at 0 K (meV per atom) = 81

Unit cell a=6.3290 b=3.5151 c=17.4511 alpha=90.00 beta=96.17 gamma=90.00
With the nearest neighbours (Å) after each atom.
Positions (direct):
Tb  0.0000  0.0000  0.0000  10 Ho 3.51-3.62, 2 Tb 3.52
Tb  0.0476  0.5000  0.6580  2 Tb 3.52, 7 Ho 3.59-3.73, 4 Nd 3.60-3.66
Tb  0.9524  0.5000  0.3420  2 Tb 3.52, 7 Ho 3.59-3.73, 4 Nd 3.60-3.66
Nd  0.4418  0.0000  0.3265  5 Ho 3.41-3.50, 2 Nd 3.52, 4 Tb 3.60-3.66
Nd  0.5582  0.0000  0.6735  5 Ho 3.41-3.50, 2 Nd 3.52, 4 Tb 3.60-3.66
Ho  0.2259  0.5000  0.1630  7 Ho 3.49-3.63, 2 Nd 3.50, 3 Tb 3.51-3.73
Ho  0.2443  0.0000  0.5008  2 Ho 3.09-3.24, 2 Nd 3.41-3.43
Ho  0.2722  0.0000  0.8342  1 Nd 3.50, 8 Ho 3.52-3.63, 3 Tb 3.52-3.69
Ho  0.5000  0.5000  0.0000  8 Ho 3.49-3.56, 4 Tb 3.62
Ho  0.7278  0.0000  0.1658  1 Nd 3.50, 8 Ho 3.52-3.63, 3 Tb 3.52-3.69
Ho  0.7557  0.0000  0.4992  2 Ho 3.09-3.24, 2 Nd 3.41-3.43
Ho  0.7741  0.5000  0.8370  7 Ho 3.49-3.63, 2 Nd 3.50, 3 Tb 3.51-3.73